Record 1
# NdZrCu

An optimized crystal structure of NdZrCu (PBE-GGA, OQMD).

Summary:
* space group: F-43m
* E_form: 1.0 eV per formula unit
* final energy: -5.3453 eV/atom
* ΔE to the lowest computed polymorph: 0 meV per atom

Unit cell a=4.723 b=4.723 c=4.723 alpha=60.00 beta=60.00 gamma=60.00
Last column: magnetic moment on the atom in μB.
Positions (direct):
Zr  0.750  0.750  0.750  0.44
Nd  0.250  0.250  0.250  0.16
Cu  0.000  0.000  0.000  0.06

Record 2
# Tm2ScZn3Cu3

An optimized crystal structure of Tm2ScZn3Cu3 (PBE-GGA, OQMD).

Summary:
* space group: Amm2
* E_form: -3.0 eV per formula unit
* final energy: -3.6951 eV/atom

Unit cell a=3.790 b=6.924 c=6.924 alpha=119.90 beta=90.00 gamma=90.00
Positions (direct):
Cu  0.000  0.004  0.004
Cu  0.500  0.659  0.335
Cu  0.500  0.335  0.659
Tm  0.000  0.000  0.588
Tm  0.000  0.588  0.000
Zn  0.500  0.004  0.246
Zn  0.500  0.246  0.004
Zn  0.500  0.752  0.752
Sc  0.000  0.411  0.411

Record 3
# NaReTe2AuS

An optimized crystal structure of NaReTe2AuS (PBE-GGA, OQMD).

Summary:
* space group: Cmcm
* final energy: -4.4989 eV/atom

Unit cell a=7.634 b=7.634 c=10.008 alpha=90.00 beta=90.00 gamma=149.83
Last column: magnetic moment on the atom in μB.
Positions (direct):
Te  0.868  0.132  0.499  0.04
Te  0.132  0.868  0.999  0.04
Te  0.132  0.868  0.501  0.04
Te  0.868  0.132  0.001  0.04
Au  0.068  0.932  0.750  0.10
Au  0.932  0.068  0.250  0.10
Na  0.731  0.269  0.750  0.01
Na  0.269  0.731  0.250  0.01
S  0.546  0.454  0.250  0.07
S  0.454  0.546  0.750  0.07
Re  0.500  0.500  0.000  1.93
Re  0.500  0.500  0.500  1.92

Record 4
# BaLiGdSe3

An optimized crystal structure of BaLiGdSe3 (PBE-GGA, OQMD).

Summary:
* space group: C2/m
* final energy: -4.9751 eV/atom
* ΔE to the lowest computed polymorph: 16 meV per atom

Unit cell a=9.265 b=9.265 c=8.942 alpha=103.75 beta=103.75 gamma=26.63
Positions (direct):
Ba  0.864  0.864  0.934
Ba  0.136  0.136  0.066
Se  0.332  0.332  0.638
Se  0.671  0.671  0.803
Se  0.668  0.668  0.362
Se  0.000  0.000  0.500
Se  0.500  0.500  0.000
Se  0.329  0.329  0.197
Gd  0.835  0.835  0.416
Gd  0.165  0.165  0.584
Li  0.504  0.504  0.698
Li  0.496  0.496  0.302

Record 5
# Tb2AuSe3

An optimized crystal structure of Tb2AuSe3 (PBE-GGA, OQMD).

Summary:
* space group: Pnma
* final energy: -5.1496 eV/atom
* ΔE to the lowest computed polymorph: 34 meV per atom

Unit cell a=10.294 b=3.902 c=13.969 alpha=90.00 beta=90.00 gamma=90.00
Positions (direct):
Se  0.236  0.250  0.866
Se  0.463  0.250  0.098
Se  0.736  0.250  0.634
Se  0.537  0.750  0.902
Se  0.264  0.750  0.366
Se  0.572  0.250  0.405
Se  0.963  0.250  0.402
Se  0.428  0.750  0.595
Se  0.072  0.250  0.095
Se  0.037  0.750  0.598
Se  0.764  0.750  0.134
Se  0.928  0.750  0.905
Au  0.762  0.250  0.276
Au  0.262  0.250  0.224
Au  0.738  0.750  0.776
Au  0.238  0.750  0.724
Tb  0.768  0.750  0.475
Tb  0.732  0.250  0.975
Tb  0.268  0.750  0.025
Tb  0.014  0.750  0.248
Tb  0.986  0.250  0.752
Tb  0.514  0.750  0.252
Tb  0.232  0.250  0.525
Tb  0.486  0.250  0.748

Record 6
# HfCdInCu

An optimized crystal structure of HfCdInCu (PBE-GGA, OQMD).

Summary:
* space group: F-43m
* final energy: -4.1776 eV/atom
* ΔE to the lowest computed polymorph: 34 meV per atom

Unit cell a=4.783 b=4.783 c=4.783 alpha=60.00 beta=60.00 gamma=60.00
Positions (direct):
Cd  0.500  0.500  0.500
In  0.000  0.000  0.000
Cu  0.750  0.750  0.750
Hf  0.250  0.250  0.250

Question: Among the records above, which one has the lowest final energy?
Answer: NdZrCu

Question: The lowest final energy belongs to which entry?
Answer: NdZrCu